Entry from the Alexandria database: a relaxed YErBi crystal (PBE-GGA).

DFT formation energy: -0.81 eV/f.u.
total moment: 0.00 μB per cell

The structure in POSCAR format:
```
YErBi
1.0
-3.362 -0.051 1.878
0.947 -4.916 1.563
1.585 4.039 2.946
Bi Er Y
1 1 1
Direct
0.322 0.333 0.667
0.074 0.000 0.000
0.604 0.667 0.333
```